[1]
Crystalline RbSbNO2 at its relaxed geometry, computed with PBE-GGA. Values from VASP.

Structure (Quantum ESPRESSO input):
```
&SYSTEM
  ibrav = 0, nat = 5, ntyp = 4
/
ATOMIC_SPECIES
Rb 85.47 Rb.upf
N 14.01 N.upf
O 16.00 O.upf
Sb 121.76 Sb.upf
CELL_PARAMETERS angstrom
4.140 0.000 0.000
0.000 4.140 0.000
0.000 0.000 4.226
ATOMIC_POSITIONS crystal
Rb 0.500 0.500 0.500
N 0.000 0.000 0.500
O 0.500 0.000 0.000
O 0.000 0.500 0.000
Sb 0.000 0.000 0.000
```

Its symmetry is No. 123.

=====

[2]
Crystalline RbSbN2O at its relaxed geometry, computed with PBE-GGA. Values from VASP.

Structure (Quantum ESPRESSO input):
```
&SYSTEM
  ibrav = 0, nat = 5, ntyp = 4
/
ATOMIC_SPECIES
N 14.01 N.upf
Rb 85.47 Rb.upf
O 16.00 O.upf
Sb 121.76 Sb.upf
CELL_PARAMETERS angstrom
-2.779 2.983 1.203
-2.052 -2.868 2.372
2.451 0.960 3.281
ATOMIC_POSITIONS crystal
N 0.000 0.500 0.000
N 0.500 0.000 0.000
Rb 0.500 0.500 0.500
O 0.000 0.000 0.500
Sb 0.000 0.000 0.000
```

Its symmetry is No. 123.

=====

[3]
Crystalline RbSbN2O at its relaxed geometry, computed with PBE-GGA. Values from VASP.

Structure (Quantum ESPRESSO input):
```
&SYSTEM
  ibrav = 0, nat = 5, ntyp = 4
/
ATOMIC_SPECIES
Sb 121.76 Sb.upf
O 16.00 O.upf
N 14.01 N.upf
Rb 85.47 Rb.upf
CELL_PARAMETERS angstrom
-0.575 2.855 -3.462
-4.388 0.374 1.037
0.870 3.229 2.518
ATOMIC_POSITIONS crystal
Sb 0.500 0.500 0.500
O 0.000 0.000 0.500
N 0.500 0.000 0.000
N 0.000 0.500 0.000
Rb 0.000 0.000 0.000
```

Its symmetry is No. 123.

=====

[4]
Crystalline RbSe2NO at its relaxed geometry, computed with PBE-GGA. Values from VASP.

Structure (Quantum ESPRESSO input):
```
&SYSTEM
  ibrav = 0, nat = 5, ntyp = 4
/
ATOMIC_SPECIES
Rb 85.47 Rb.upf
O 16.00 O.upf
Se 78.96 Se.upf
N 14.01 N.upf
CELL_PARAMETERS angstrom
-4.117 -0.699 -0.974
1.173 -5.903 -0.725
-0.865 -0.681 4.145
ATOMIC_POSITIONS crystal
Rb 0.500 0.500 0.500
O 0.000 0.000 0.000
Se 0.000 0.000 0.500
Se 0.500 0.000 0.000
N 0.000 0.500 0.000
```

Its symmetry is No. 123.

=====

[5]
Crystalline RbSeN2O at its relaxed geometry, computed with PBE-GGA. Values from VASP.

Structure (Quantum ESPRESSO input):
```
&SYSTEM
  ibrav = 0, nat = 5, ntyp = 4
/
ATOMIC_SPECIES
Rb 85.47 Rb.upf
O 16.00 O.upf
Se 78.96 Se.upf
N 14.01 N.upf
CELL_PARAMETERS angstrom
-1.054 4.983 -2.528
-4.271 0.940 3.634
3.185 2.275 3.156
ATOMIC_POSITIONS crystal
Rb 0.000 0.000 0.000
O 0.000 0.000 0.500
Se 0.500 0.500 0.500
N 0.000 0.500 0.000
N 0.500 0.000 0.000
```

Its symmetry is No. 123.

=====

[6]
Crystalline RbSe2NO at its relaxed geometry, computed with PBE-GGA. Values from VASP.

Structure (Quantum ESPRESSO input):
```
&SYSTEM
  ibrav = 0, nat = 5, ntyp = 4
/
ATOMIC_SPECIES
Se 78.96 Se.upf
Rb 85.47 Rb.upf
O 16.00 O.upf
N 14.01 N.upf
CELL_PARAMETERS angstrom
-6.077 3.046 -0.836
-3.074 -5.286 3.084
0.654 2.802 5.454
ATOMIC_POSITIONS crystal
Se 0.500 0.000 0.000
Se 0.000 0.500 0.000
Rb 0.000 0.000 0.000
O 0.500 0.500 0.500
N 0.000 0.000 0.500
```

Its symmetry is No. 123.

=====

[7]
Crystalline RbSeN2O at its relaxed geometry, computed with PBE-GGA. Values from VASP.

Structure (Quantum ESPRESSO input):
```
&SYSTEM
  ibrav = 0, nat = 5, ntyp = 4
/
ATOMIC_SPECIES
N 14.01 N.upf
Rb 85.47 Rb.upf
Se 78.96 Se.upf
O 16.00 O.upf
CELL_PARAMETERS angstrom
-4.036 1.713 -3.676
-4.044 -1.307 3.831
0.369 6.371 2.564
ATOMIC_POSITIONS crystal
N 0.500 0.000 0.000
N 0.000 0.500 0.000
Rb 0.000 0.000 0.000
Se 0.000 0.000 0.500
O 0.500 0.500 0.500
```

Its symmetry is No. 123.

=====

[8]
Crystalline RbSeN2O at its relaxed geometry, computed with PBE-GGA. Values from VASP.

Structure (Quantum ESPRESSO input):
```
&SYSTEM
  ibrav = 0, nat = 5, ntyp = 4
/
ATOMIC_SPECIES
O 16.00 O.upf
Se 78.96 Se.upf
Rb 85.47 Rb.upf
N 14.01 N.upf
CELL_PARAMETERS angstrom
4.141 0.000 0.000
0.000 4.141 0.000
0.000 0.000 4.227
ATOMIC_POSITIONS crystal
O 0.000 0.000 0.500
Se 0.000 0.000 0.000
Rb 0.500 0.500 0.500
N 0.500 0.000 0.000
N 0.000 0.500 0.000
```

Its symmetry is No. 123.

=====

[9]
Crystalline RbSeN2O at its relaxed geometry, computed with PBE-GGA. Values from VASP.

Structure (Quantum ESPRESSO input):
```
&SYSTEM
  ibrav = 0, nat = 5, ntyp = 4
/
ATOMIC_SPECIES
O 16.00 O.upf
Rb 85.47 Rb.upf
N 14.01 N.upf
Se 78.96 Se.upf
CELL_PARAMETERS angstrom
-0.973 -0.288 -5.396
1.582 -5.258 -0.005
-3.565 -1.073 0.700
ATOMIC_POSITIONS crystal
O 0.000 0.000 0.000
Rb 0.500 0.500 0.500
N 0.500 0.000 0.000
N 0.000 0.500 0.000
Se 0.000 0.000 0.500
```

Its symmetry is No. 123.

=====

[10]
Crystalline RbSiN2O at its relaxed geometry, computed with PBE-GGA. Values from VASP.

Structure (Quantum ESPRESSO input):
```
&SYSTEM
  ibrav = 0, nat = 5, ntyp = 4
/
ATOMIC_SPECIES
Rb 85.47 Rb.upf
Si 28.09 Si.upf
N 14.01 N.upf
O 16.00 O.upf
CELL_PARAMETERS angstrom
4.598 0.000 0.000
0.000 4.598 0.000
0.000 0.000 4.754
ATOMIC_POSITIONS crystal
Rb 0.000 0.000 0.000
Si 0.500 0.500 0.500
N 0.500 0.000 0.000
N 0.000 0.500 0.000
O 0.000 0.000 0.500
```

Its symmetry is No. 123.

=====

[11]
Crystalline RbSiN2O at its relaxed geometry, computed with PBE-GGA. Values from VASP.

Structure (Quantum ESPRESSO input):
```
&SYSTEM
  ibrav = 0, nat = 5, ntyp = 4
/
ATOMIC_SPECIES
Si 28.09 Si.upf
O 16.00 O.upf
N 14.01 N.upf
Rb 85.47 Rb.upf
CELL_PARAMETERS angstrom
-1.395 2.890 2.258
0.556 -2.222 3.186
3.472 1.391 0.364
ATOMIC_POSITIONS crystal
Si 0.000 0.000 0.000
O 0.000 0.000 0.500
N 0.500 0.000 0.000
N 0.000 0.500 0.000
Rb 0.500 0.500 0.500
```

Its symmetry is No. 123.

=====

[12]
Crystalline RbSnNO2 at its relaxed geometry, computed with PBE-GGA. Values from VASP.

Structure (Quantum ESPRESSO input):
```
&SYSTEM
  ibrav = 0, nat = 5, ntyp = 4
/
ATOMIC_SPECIES
N 14.01 N.upf
Sn 118.71 Sn.upf
O 16.00 O.upf
Rb 85.47 Rb.upf
CELL_PARAMETERS angstrom
4.197 0.000 0.000
0.000 4.197 0.000
0.000 0.000 4.428
ATOMIC_POSITIONS crystal
N 0.000 0.000 0.500
Sn 0.000 0.000 0.000
O 0.500 0.000 0.000
O 0.000 0.500 0.000
Rb 0.500 0.500 0.500
```

Its symmetry is No. 123.

=====

[13]
Crystalline RbSnNO2 at its relaxed geometry, computed with PBE-GGA. Values from VASP.

Structure (Quantum ESPRESSO input):
```
&SYSTEM
  ibrav = 0, nat = 5, ntyp = 4
/
ATOMIC_SPECIES
O 16.00 O.upf
Rb 85.47 Rb.upf
N 14.01 N.upf
Sn 118.71 Sn.upf
CELL_PARAMETERS angstrom
4.337 0.000 0.000
0.000 4.337 0.000
0.000 0.000 4.696
ATOMIC_POSITIONS crystal
O 0.000 0.500 0.000
O 0.500 0.000 0.000
Rb 0.000 0.000 0.000
N 0.000 0.000 0.500
Sn 0.500 0.500 0.500
```

Its symmetry is No. 123.

=====

[14]
Crystalline RbSrNO2 at its relaxed geometry, computed with PBE-GGA. Values from VASP.

Structure (Quantum ESPRESSO input):
```
&SYSTEM
  ibrav = 0, nat = 5, ntyp = 4
/
ATOMIC_SPECIES
Rb 85.47 Rb.upf
N 14.01 N.upf
O 16.00 O.upf
Sr 87.62 Sr.upf
CELL_PARAMETERS angstrom
-3.719 0.828 2.707
1.263 -3.514 2.810
2.394 2.805 2.432
ATOMIC_POSITIONS crystal
Rb 0.000 0.000 0.000
N 0.000 0.000 0.500
O 0.000 0.500 0.000
O 0.500 0.000 0.000
Sr 0.500 0.500 0.500
```

Its symmetry is No. 123.

=====

[15]
Crystalline RbSrNO2 at its relaxed geometry, computed with PBE-GGA. Values from VASP.

Structure (Quantum ESPRESSO input):
```
&SYSTEM
  ibrav = 0, nat = 5, ntyp = 4
/
ATOMIC_SPECIES
Rb 85.47 Rb.upf
N 14.01 N.upf
O 16.00 O.upf
Sr 87.62 Sr.upf
CELL_PARAMETERS angstrom
4.799 0.000 0.000
0.000 4.799 0.000
0.000 0.000 5.155
ATOMIC_POSITIONS crystal
Rb 0.500 0.500 0.500
N 0.000 0.000 0.500
O 0.500 0.000 0.000
O 0.000 0.500 0.000
Sr 0.000 0.000 0.000
```

Its symmetry is No. 123.

=====

[16]
Crystalline RbTaN2O at its relaxed geometry, computed with PBE-GGA. Values from VASP.

Structure (Quantum ESPRESSO input):
```
&SYSTEM
  ibrav = 0, nat = 5, ntyp = 4
/
ATOMIC_SPECIES
Ta 180.95 Ta.upf
N 14.01 N.upf
O 16.00 O.upf
Rb 85.47 Rb.upf
CELL_PARAMETERS angstrom
-2.014 -1.624 3.322
-1.426 -3.149 -2.404
3.326 -2.218 0.932
ATOMIC_POSITIONS crystal
Ta 0.000 0.000 0.000
N 0.500 0.000 0.000
N 0.000 0.500 0.000
O 0.000 0.000 0.500
Rb 0.500 0.500 0.500
```

Its symmetry is No. 123.

=====

[17]
Crystalline RbTaN2O at its relaxed geometry, computed with PBE-GGA. Values from VASP.

Structure (Quantum ESPRESSO input):
```
&SYSTEM
  ibrav = 0, nat = 5, ntyp = 4
/
ATOMIC_SPECIES
O 16.00 O.upf
Rb 85.47 Rb.upf
Ta 180.95 Ta.upf
N 14.01 N.upf
CELL_PARAMETERS angstrom
-2.638 3.013 1.510
0.316 -1.689 3.921
3.106 2.339 0.758
ATOMIC_POSITIONS crystal
O 0.000 0.000 0.500
Rb 0.000 0.000 0.000
Ta 0.500 0.500 0.500
N 0.000 0.500 0.000
N 0.500 0.000 0.000
```

Its symmetry is No. 123.

=====

[18]
Crystalline RbTcN2O at its relaxed geometry, computed with PBE-GGA. Values from VASP.

Structure (Quantum ESPRESSO input):
```
&SYSTEM
  ibrav = 0, nat = 5, ntyp = 4
/
ATOMIC_SPECIES
N 14.01 N.upf
O 16.00 O.upf
Rb 85.47 Rb.upf
Tc 98.00 Tc.upf
CELL_PARAMETERS angstrom
-0.490 -2.221 3.227
-3.011 -1.867 -1.742
2.626 -2.805 -1.531
ATOMIC_POSITIONS crystal
N 0.500 0.000 0.000
N 0.000 0.500 0.000
O 0.000 0.000 0.500
Rb 0.500 0.500 0.500
Tc 0.000 0.000 0.000
```

Its symmetry is No. 123.

=====

[19]
Crystalline RbTcN2O at its relaxed geometry, computed with PBE-GGA. Values from VASP.

Structure (Quantum ESPRESSO input):
```
&SYSTEM
  ibrav = 0, nat = 5, ntyp = 4
/
ATOMIC_SPECIES
N 14.01 N.upf
Tc 98.00 Tc.upf
Rb 85.47 Rb.upf
O 16.00 O.upf
CELL_PARAMETERS angstrom
-2.426 -0.677 -3.545
0.870 -4.255 0.218
-3.247 -0.545 2.327
ATOMIC_POSITIONS crystal
N 0.000 0.500 0.000
N 0.500 0.000 0.000
Tc 0.500 0.500 0.500
Rb 0.000 0.000 0.000
O 0.000 0.000 0.500
```

Its symmetry is No. 123.

=====

[20]
Crystalline RbTeN2O at its relaxed geometry, computed with PBE-GGA. Values from VASP.

Structure (Quantum ESPRESSO input):
```
&SYSTEM
  ibrav = 0, nat = 5, ntyp = 4
/
ATOMIC_SPECIES
N 14.01 N.upf
O 16.00 O.upf
Rb 85.47 Rb.upf
Te 127.60 Te.upf
CELL_PARAMETERS angstrom
5.546 0.000 0.000
0.000 5.546 0.000
0.000 0.000 4.083
ATOMIC_POSITIONS crystal
N 0.000 0.500 0.000
N 0.500 0.000 0.000
O 0.000 0.000 0.000
Rb 0.500 0.500 0.500
Te 0.000 0.000 0.500
```

Its symmetry is No. 123.

=====

no.,total magnetic moment (Bohr magnetons per cell),uncorrected formation energy (eV/f.u.),D(E_F) (states/eV per atom)
1,1.16,-2.3,0.510
2,2.17,2.1,0.768
3,1.01,11.6,0.852
4,3.03,3.8,1.001
5,3.02,12.1,1.240
6,4.52,9.9,2.497
7,2.24,12.7,1.703
8,2.50,4.9,0.579
9,5.26,8.1,0.556
10,3.00,13.5,0.430
11,2.99,0.6,0.174
12,2.00,-2.1,0.265
13,0.98,6.9,0.459
14,2.38,2.4,0.691
15,4.00,-1.0,0.897
16,2.00,-3.3,0.423
17,0.00,13.2,0.846
18,0.00,-0.5,0.272
19,0.04,15.9,0.831
20,5.23,7.8,0.587